No. 1
Below is a geometry-optimized CsCdGaBi3 structure, with properties calculated at the PBE level.

a = 9.3291 Å, b = 9.3291 Å, c = 7.4707 Å
α = 90.00°, β = 90.00°, γ = 132.19°
Element x y z (fractional)
Cs1 0.2421 0.7579 0.7500
Cs2 0.7579 0.2421 0.2500
Cd1 0.0885 0.9115 0.2500
Cd2 0.9115 0.0885 0.7500
Ga1 0.4142 0.5858 0.2500
Ga2 0.5858 0.4142 0.7500
Bi1 0.2577 0.2577 0.0000
Bi2 0.2577 0.2577 0.5000
Bi3 0.2579 0.7421 0.2500
Bi4 0.7421 0.2579 0.7500
Bi5 0.7423 0.7423 0.0000
Bi6 0.7423 0.7423 0.5000

Summary:
mass density	6.49	g cm⁻³
calculated volume	40.14	Å³ per atom
formation enthalpy at 0 K	0.043	eV/atom
DOS at the Fermi energy	9.06	states/eV/cell
VASP energy	-2.70	eV per atom

***

No. 2
Below is a geometry-optimized LaCeS2 structure, with properties calculated at the PBE level.

a = 7.5491 Å, b = 7.5491 Å, c = 7.5491 Å
α = 30.66°, β = 30.66°, γ = 30.66°
Element x y z (fractional)
La1 0.0000 0.0000 0.0000
Ce1 0.1762 0.1762 0.1762
S1 0.4224 0.4224 0.4224
S2 0.5870 0.5870 0.5870

Summary:
mass density	5.75	g cm⁻³
calculated volume	24.79	Å³ per atom
DOS at the Fermi energy	7.08	states/eV/cell
VASP energy	-6.75	eV per atom
formation energy from raw total energies	-1.974	eV per atom

***

No. 3
Below is a geometry-optimized TaPb5 structure, with properties calculated at the PBE level.

a = 6.0412 Å, b = 6.0412 Å, c = 9.6410 Å
α = 111.00°, β = 111.00°, γ = 31.49°
Element x y z (fractional)
Ta1 0.0000 0.0000 0.0000
Pb1 0.0456 0.0456 0.5510
Pb2 0.3582 0.3582 0.7131
Pb3 0.3988 0.3988 0.2014
Pb4 0.6883 0.6883 0.2939
Pb5 0.6898 0.6898 0.9106

Summary:
mass density	11.85	g cm⁻³
calculated volume	28.43	Å³ per atom
formation enthalpy at 0 K	0.332	eV/atom
DOS at the Fermi energy	2.91	states/eV/cell
VASP energy	-4.73	eV per atom